# PBE BaZr2Cu, relaxed
# total energy	-21.21	eV for the cell shown
# ρ	6.2	g/cm³
# E above lowest polymorph	128	kJ/mol of formula units
# calculated formation energy	0.4758	eV per atom
data_BaZr2Cu
_chemical_formula_sum 'Ba1 Zr2 Cu1'
_cell_length_a 10.259
_cell_length_b 10.259
_cell_length_c 10.259
_cell_angle_alpha 19.28
_cell_angle_beta 19.28
_cell_angle_gamma 19.28
_symmetry_space_group_name_H-M 'P 1'
_symmetry_Int_Tables_number 1
loop_
_symmetry_equiv_pos_as_xyz
'x,y,z'
loop_
_atom_site_label
_atom_site_fract_x
_atom_site_fract_y
_atom_site_fract_z
_atom_site_occupancy
Zr1 0.021 0.021 0.021 1
Zr2 0.479 0.479 0.479 1
Cu1 0.750 0.750 0.750 1
Ba1 0.250 0.250 0.250 1

# PBE NbTc2Os, relaxed
# total energy	-41.43	eV for the cell shown
# ρ	12.9	g/cm³
# E above lowest polymorph	0	kJ/mol of formula units
# calculated formation energy	0.1512	eV per atom
data_NbTc2Os
_chemical_formula_sum 'Nb1 Tc2 Os1'
_cell_length_a 4.438
_cell_length_b 4.438
_cell_length_c 4.438
_cell_angle_alpha 60.00
_cell_angle_beta 60.00
_cell_angle_gamma 60.00
_symmetry_space_group_name_H-M 'P 1'
_symmetry_Int_Tables_number 1
loop_
_symmetry_equiv_pos_as_xyz
'x,y,z'
loop_
_atom_site_label
_atom_site_fract_x
_atom_site_fract_y
_atom_site_fract_z
_atom_site_occupancy
Tc1 0.750 0.750 0.750 1
Tc2 0.250 0.250 0.250 1
Nb1 0.000 0.000 0.000 1
Os1 0.500 0.500 0.500 1

# PBE HoGeRu, relaxed
# total energy	-20.19	eV for the cell shown
# ρ	9.8	g/cm³
# calculated formation energy	-0.5726	eV per atom
data_HoGeRu
_chemical_formula_sum 'Ho1 Ge1 Ru1'
_cell_length_a 3.486
_cell_length_b 4.366
_cell_length_c 4.366
_cell_angle_alpha 120.00
_cell_angle_beta 90.00
_cell_angle_gamma 90.00
_symmetry_space_group_name_H-M 'P 1'
_symmetry_Int_Tables_number 1
loop_
_symmetry_equiv_pos_as_xyz
'x,y,z'
loop_
_atom_site_label
_atom_site_fract_x
_atom_site_fract_y
_atom_site_fract_z
_atom_site_occupancy
Ge1 0.167 0.000 0.000 1
Ru1 0.167 0.333 0.667 1
Ho1 0.667 0.667 0.333 1

# PBE CeScTiSn, relaxed
# total energy	-25.03	eV for the cell shown
# ρ	6.7	g/cm³
# calculated formation energy	-0.2177	eV per atom
data_CeScTiSn
_chemical_formula_sum 'Ce1 Sc1 Ti1 Sn1'
_cell_length_a 4.977
_cell_length_b 4.977
_cell_length_c 4.977
_cell_angle_alpha 60.00
_cell_angle_beta 60.00
_cell_angle_gamma 60.00
_symmetry_space_group_name_H-M 'P 1'
_symmetry_Int_Tables_number 1
loop_
_symmetry_equiv_pos_as_xyz
'x,y,z'
loop_
_atom_site_label
_atom_site_fract_x
_atom_site_fract_y
_atom_site_fract_z
_atom_site_occupancy
Ti1 0.250 0.250 0.250 1
Sn1 0.500 0.500 0.500 1
Sc1 0.750 0.750 0.750 1
Ce1 0.000 0.000 0.000 1

# PBE Zr5Fe, relaxed
# total energy	-47.99	eV for the cell shown
# ρ	6.3	g/cm³
# E above lowest polymorph	323	kJ/mol of formula units
# calculated formation energy	0.5362	eV per atom
data_Zr5Fe
_chemical_formula_sum 'Zr5 Fe1'
_cell_length_a 5.754
_cell_length_b 5.754
_cell_length_c 5.754
_cell_angle_alpha 60.00
_cell_angle_beta 60.00
_cell_angle_gamma 60.00
_symmetry_space_group_name_H-M 'P 1'
_symmetry_Int_Tables_number 1
loop_
_symmetry_equiv_pos_as_xyz
'x,y,z'
loop_
_atom_site_label
_atom_site_fract_x
_atom_site_fract_y
_atom_site_fract_z
_atom_site_occupancy
Zr1 0.625 0.625 0.625 1
Zr2 0.625 0.126 0.625 1
Zr3 0.250 0.250 0.250 1
Zr4 0.126 0.625 0.625 1
Zr5 0.625 0.625 0.126 1
Fe1 0.000 0.000 0.000 1

# PBE Sn2HgSN, relaxed
# total energy	-15.53	eV for the cell shown
# formation energy (no corrections)	1.046	eV per atom
# ρ	6.2	g/cm³
data_Sn2HgSN
_chemical_formula_sum 'Sn2 Hg1 S1 N1'
_cell_length_a 5.687
_cell_length_b 3.978
_cell_length_c 5.687
_cell_angle_alpha 90.00
_cell_angle_beta 90.00
_cell_angle_gamma 90.00
_symmetry_space_group_name_H-M 'P 1'
_symmetry_Int_Tables_number 1
loop_
_symmetry_equiv_pos_as_xyz
'x,y,z'
loop_
_atom_site_label
_atom_site_fract_x
_atom_site_fract_y
_atom_site_fract_z
_atom_site_occupancy
Sn1 0.000 0.000 0.500 1
Sn2 0.500 0.000 0.000 1
Hg1 0.000 0.000 0.000 1
S1 0.500 0.500 0.500 1
N1 0.000 0.500 0.000 1

# PBE LiCa2H12Rh3, relaxed
# total energy	-74.63	eV for the cell shown
# ρ	4.3	g/cm³
data_LiCa2H12Rh3
_chemical_formula_sum 'Li1 Ca2 H12 Rh3'
_cell_length_a 5.894
_cell_length_b 5.894
_cell_length_c 5.894
_cell_angle_alpha 63.75
_cell_angle_beta 63.75
_cell_angle_gamma 63.75
_symmetry_space_group_name_H-M 'P 1'
_symmetry_Int_Tables_number 1
loop_
_symmetry_equiv_pos_as_xyz
'x,y,z'
loop_
_atom_site_label
_atom_site_fract_x
_atom_site_fract_y
_atom_site_fract_z
_atom_site_occupancy
H1 0.881 0.881 0.384 1
H2 0.855 0.315 0.315 1
H3 0.616 0.119 0.119 1
H4 0.145 0.685 0.685 1
H5 0.119 0.616 0.119 1
H6 0.685 0.685 0.145 1
H7 0.384 0.881 0.881 1
H8 0.881 0.384 0.881 1
H9 0.315 0.855 0.315 1
H10 0.119 0.119 0.616 1
H11 0.685 0.145 0.685 1
H12 0.315 0.315 0.855 1
Rh1 0.000 0.000 0.500 1
Rh2 0.500 0.000 0.000 1
Rh3 0.000 0.500 0.000 1
Ca1 0.623 0.623 0.623 1
Ca2 0.377 0.377 0.377 1
Li1 0.000 0.000 0.000 1